# 1
Entry from the Alexandria database: a relaxed KTcRu2 crystal (GGA-PBE).

Unit cell a=2.7599 b=4.8662 c=4.9679 alpha=90.00 beta=90.00 gamma=90.00
Atoms (fractional coordinates):
1 K 0.0000 0.0000 0.0000
2 Tc 0.5000 0.0000 0.5000
3 Ru 0.0000 0.5000 0.5000
4 Ru 0.5000 0.5000 0.0000

The size of the total moment is 0.267 μB per atom. The polymorph energy (0 for the lowest one) is 0.849 eV per atom. Its electronic total energy is -24.0 eV/cell. The energy of formation comes out at 144.4 kJ/mol of atoms.

=====

# 2
Entry from the Alexandria database: a relaxed PuTeN crystal (GGA-PBE).

Unit cell a=3.7911 b=3.7911 c=4.8190 alpha=90.00 beta=90.00 gamma=120.00
Atoms (fractional coordinates):
1 Pu 0.0000 0.0000 0.0000
2 Te 0.6667 0.3333 0.5000
3 N 0.3333 0.6667 0.0000

The size of the total moment is 1.113 μB per atom. The polymorph energy (0 for the lowest one) is 0.270 eV per atom. Its electronic total energy is -28.1 eV/cell. As for the raw formation energy: -776 meV/atom.

=====

# 3
Entry from the Alexandria database: a relaxed LaSb2TeI crystal (GGA-PBE).

Unit cell a=6.2542 b=6.2542 c=5.9433 alpha=90.00 beta=90.00 gamma=90.00
Atoms (fractional coordinates):
1 La 0.0000 0.0000 0.0000
2 Sb 0.0000 0.5000 0.0000
3 Sb 0.5000 0.0000 0.0000
4 Te 0.5000 0.5000 0.5000
5 I 0.0000 0.0000 0.5000

The size of the total moment is 0.069 μB per atom. The polymorph energy (0 for the lowest one) is 0.153 eV per atom. Its electronic total energy is -16.5 eV/cell. As for the raw formation energy: 270 meV/atom.

=====

# 4
Entry from the Alexandria database: a relaxed PuHfAs2 crystal (GGA-PBE).

Unit cell a=6.9341 b=6.9341 c=6.9341 alpha=33.20 beta=33.20 gamma=33.20
Atoms (fractional coordinates):
1 Pu 0.0000 0.0000 0.0000
2 Hf 0.5000 0.5000 0.5000
3 As 0.2439 0.2439 0.2439
4 As 0.7561 0.7561 0.7561

The size of the total moment is 1.338 μB per atom. The polymorph energy (0 for the lowest one) is 0.000 eV per atom. Its electronic total energy is -37.9 eV/cell. The energy of formation comes out at -102.9 kJ/mol of atoms.

=====

# 5
Entry from the Alexandria database: a relaxed FeBHOs2 crystal (GGA-PBE).

Unit cell a=4.0946 b=4.0946 c=2.9337 alpha=90.00 beta=90.00 gamma=90.00
Atoms (fractional coordinates):
1 Fe 0.0000 0.0000 0.0000
2 B 0.5000 0.5000 0.0000
3 H 0.5000 0.5000 0.5000
4 Os 0.0000 0.5000 0.5000
5 Os 0.5000 0.0000 0.5000

The size of the total moment is 0.530 μB per atom. Its electronic total energy is -37.9 eV/cell.

=====

# 6
Entry from the Alexandria database: a relaxed Zr3As crystal (GGA-PBE).

Unit cell a=5.2008 b=5.2008 c=5.1260 alpha=103.31 beta=103.31 gamma=38.60
Atoms (fractional coordinates):
1 Zr 0.0000 0.0000 0.0000
2 Zr 0.2279 0.2279 0.7253
3 Zr 0.7721 0.7721 0.2747
4 As 0.5000 0.5000 0.5000

The size of the total moment is 0.001 μB per atom. Its electronic total energy is -31.9 eV/cell. The energy of formation comes out at -38.4 kJ/mol of atoms.

=====

# 7
Entry from the Alexandria database: a relaxed MnBeIr2 crystal (GGA-PBE).

Unit cell a=4.6601 b=4.6601 c=4.6601 alpha=134.36 beta=134.36 gamma=66.53
Atoms (fractional coordinates):
1 Mn 0.0000 0.0000 0.0000
2 Be 0.2500 0.7500 0.5000
3 Ir 0.5000 0.5000 0.0000
4 Ir 0.7500 0.2500 0.5000

The size of the total moment is 0.631 μB per atom. Its electronic total energy is -31.4 eV/cell. The energy of formation comes out at -18.8 kJ/mol of atoms.

=====

# 8
Entry from the Alexandria database: a relaxed LiTbBeZn crystal (GGA-PBE).

Unit cell a=4.5220 b=4.5220 c=4.5220 alpha=60.00 beta=60.00 gamma=60.00
Atoms (fractional coordinates):
1 Li 0.0000 0.0000 0.0000
2 Tb 0.2500 0.2500 0.2500
3 Be 0.5000 0.5000 0.5000
4 Zn 0.7500 0.7500 0.7500

The size of the total moment is 0.000 μB per atom. Its electronic total energy is -11.8 eV/cell. The energy of formation comes out at -5.0 kJ/mol of atoms.

=====

# 9
Entry from the Alexandria database: a relaxed Dy2TmHfN4 crystal (GGA-PBE).

Unit cell a=5.8407 b=3.3669 c=5.8577 alpha=90.00 beta=109.21 gamma=90.00
Atoms (fractional coordinates):
1 Dy 0.0000 0.0000 0.0000
2 Dy 0.5000 0.5000 0.0000
3 Tm 0.0000 0.5000 0.5000
4 Hf 0.5000 0.0000 0.5000
5 N 0.2568 0.0000 0.7365
6 N 0.2655 0.5000 0.2689
7 N 0.7345 0.5000 0.7311
8 N 0.7432 0.0000 0.2635

The size of the total moment is 0.000 μB per atom. Its electronic total energy is -71.3 eV/cell. As for the raw formation energy: -1795 meV/atom.

=====

# 10
Entry from the Alexandria database: a relaxed SmYPb2 crystal (GGA-PBE).

Unit cell a=4.4623 b=6.3110 c=8.5485 alpha=90.00 beta=90.00 gamma=90.00
Atoms (fractional coordinates):
1 Sm 0.0000 0.1211 0.0000
2 Sm 0.0000 0.8789 0.5000
3 Y 0.5000 0.3810 0.3729
4 Y 0.5000 0.6190 0.8729
5 Pb 0.0000 0.4176 0.6438
6 Pb 0.0000 0.5824 0.1438
7 Pb 0.5000 0.0795 0.7292
8 Pb 0.5000 0.9205 0.2292

The size of the total moment is 0.000 μB per atom. Its electronic total energy is -41.3 eV/cell. The energy of formation comes out at -49.2 kJ/mol of atoms.

=====

# 11
Entry from the Alexandria database: a relaxed PaTaB4 crystal (GGA-PBE).

Unit cell a=6.0929 b=11.7910 c=3.7245 alpha=90.00 beta=90.00 gamma=90.00
Atoms (fractional coordinates):
1 Pa 0.1268 0.1510 0.0000
2 Pa 0.3732 0.6510 0.0000
3 Pa 0.6268 0.3490 0.0000
4 Pa 0.8732 0.8490 0.0000
5 Ta 0.1345 0.4120 0.0000
6 Ta 0.3655 0.9120 0.0000
7 Ta 0.6345 0.0880 0.0000
8 Ta 0.8655 0.5880 0.0000
9 B 0.0268 0.6931 0.5000
10 B 0.1153 0.5471 0.5000
11 B 0.1319 0.9684 0.5000
12 B 0.2075 0.8122 0.5000
13 B 0.2925 0.3122 0.5000
14 B 0.3681 0.4684 0.5000
15 B 0.3847 0.0471 0.5000
16 B 0.4732 0.1931 0.5000
17 B 0.5268 0.8069 0.5000
18 B 0.6153 0.9529 0.5000
19 B 0.6319 0.5316 0.5000
20 B 0.7075 0.6878 0.5000
21 B 0.7925 0.1878 0.5000
22 B 0.8681 0.0316 0.5000
23 B 0.8847 0.4529 0.5000
24 B 0.9732 0.3069 0.5000

The size of the total moment is 0.000 μB per atom. Its electronic total energy is -208.2 eV/cell. The energy of formation comes out at -64.0 kJ/mol of atoms.

=====

# 12
Entry from the Alexandria database: a relaxed YBeCl crystal (GGA-PBE).

Unit cell a=4.6650 b=4.6650 c=4.6650 alpha=60.00 beta=60.00 gamma=60.00
Atoms (fractional coordinates):
1 Y 0.0000 0.0000 0.0000
2 Be 0.2500 0.2500 0.2500
3 Cl 0.7500 0.7500 0.7500

The size of the total moment is 0.001 μB per atom. The polymorph energy (0 for the lowest one) is 0.451 eV per atom. Its electronic total energy is -11.7 eV/cell. As for the raw formation energy: 115 meV/atom.